Record 1
Pm5AlIn4: relaxed, PBE-GGA.

Structure (CIF):
```
data_Pm5AlIn4
_symmetry_space_group_name_H-M 'P 4/m m m'
_symmetry_Int_Tables_number 123
_symmetry_space_group_name_Hall '-P 4 2'
_cell_length_a 3.809
_cell_length_b 3.809
_cell_length_c 19.229
_cell_angle_alpha 90.00
_cell_angle_beta 90.00
_cell_angle_gamma 90.00
loop_
_atom_site_label
_atom_site_type_symbol
_atom_site_fract_x
_atom_site_fract_y
_atom_site_fract_z
Pm1 Pm 0.000 0.000 0.000
Pm2 Pm 0.000 0.000 0.204
Pm3 Pm 0.000 0.000 0.407
Al1 Al 0.500 0.500 0.500
In1 In 0.500 0.500 0.102
In2 In 0.500 0.500 0.306
```

## Properties
DFT formation energy ... -0.4682 eV/atom
Theoretical density ... 7.21 g/cm3
Size of the total moment ... 0.00 μB per cell

***

Record 2
Pm6AlIn5: relaxed, PBE-GGA.

Structure (CIF):
```
data_Pm6AlIn5
_symmetry_space_group_name_H-M 'C m m m'
_symmetry_Int_Tables_number 65
_symmetry_space_group_name_Hall '-C 2 2'
_cell_length_a 5.409
_cell_length_b 16.229
_cell_length_c 7.664
_cell_angle_alpha 90.00
_cell_angle_beta 90.00
_cell_angle_gamma 90.00
loop_
_atom_site_label
_atom_site_type_symbol
_atom_site_fract_x
_atom_site_fract_y
_atom_site_fract_z
Pm1 Pm 0.000 0.000 0.245
Pm2 Pm 0.000 0.336 0.248
Al1 Al 0.000 0.500 0.000
In1 In 0.000 0.168 0.000
In2 In 0.000 0.168 0.500
In3 In 0.000 0.500 0.500
```

## Properties
DFT formation energy ... -0.4701 eV/atom
Theoretical density ... 7.26 g/cm3
Size of the total moment ... 0.00 μB per cell

***

Record 3
Pm2AlIn: relaxed, PBE-GGA.

Structure (CIF):
```
data_Pm2AlIn
_symmetry_space_group_name_H-M 'P 4/m m m'
_symmetry_Int_Tables_number 123
_symmetry_space_group_name_Hall '-P 4 2'
_cell_length_a 3.757
_cell_length_b 3.757
_cell_length_c 7.647
_cell_angle_alpha 90.00
_cell_angle_beta 90.00
_cell_angle_gamma 90.00
loop_
_atom_site_label
_atom_site_type_symbol
_atom_site_fract_x
_atom_site_fract_y
_atom_site_fract_z
Pm1 Pm 0.000 0.000 0.240
Al1 Al 0.500 0.500 0.000
In1 In 0.500 0.500 0.500
```

## Properties
DFT formation energy ... -0.4258 eV/atom
Theoretical density ... 6.64 g/cm3
Size of the total moment ... 0.00 μB per cell

***

Record 4
Pm2AlIn3: relaxed, PBE-GGA.

Structure (CIF):
```
data_Pm2AlIn3
_symmetry_space_group_name_H-M 'P m m 2'
_symmetry_Int_Tables_number 25
_cell_length_a 3.684
_cell_length_b 4.894
_cell_length_c 8.488
_cell_angle_alpha 90.00
_cell_angle_beta 90.00
_cell_angle_gamma 90.00
loop_
_symmetry_equiv_pos_as_xyz
'x,y,z'
'-x,-y,z'
'-x,y,z'
'x,-y,z'
loop_
_atom_site_label
_atom_site_type_symbol
_atom_site_fract_x
_atom_site_fract_y
_atom_site_fract_z
Pm1 Pm 0.000 0.000 0.000
Pm2 Pm 0.000 0.500 0.486
Al1 Al 0.500 0.000 0.323
In1 In 0.500 0.000 0.649
In2 In 0.500 0.500 0.167
In3 In 0.500 0.500 0.827
```

## Properties
DFT formation energy ... -0.4579 eV/atom
Relative energy among the computed polymorphs ... 0 meV/atom
Theoretical density ... 7.18 g/cm3
Size of the total moment ... 0.00 μB per cell

***

Question: Which value of DFT formation energy does entry 2 give?
Answer: -0.4701 eV/atom

***

Copy entry 3 word for word.
Pm2AlIn: relaxed, PBE-GGA.

Structure (CIF):
```
data_Pm2AlIn
_symmetry_space_group_name_H-M 'P 4/m m m'
_symmetry_Int_Tables_number 123
_symmetry_space_group_name_Hall '-P 4 2'
_cell_length_a 3.757
_cell_length_b 3.757
_cell_length_c 7.647
_cell_angle_alpha 90.00
_cell_angle_beta 90.00
_cell_angle_gamma 90.00
loop_
_atom_site_label
_atom_site_type_symbol
_atom_site_fract_x
_atom_site_fract_y
_atom_site_fract_z
Pm1 Pm 0.000 0.000 0.240
Al1 Al 0.500 0.500 0.000
In1 In 0.500 0.500 0.500
```

## Properties
DFT formation energy ... -0.4258 eV/atom
Theoretical density ... 6.64 g/cm3
Size of the total moment ... 0.00 μB per cell

***

What did the first record say?
Pm5AlIn4: relaxed, PBE-GGA.

Structure (CIF):
```
data_Pm5AlIn4
_symmetry_space_group_name_H-M 'P 4/m m m'
_symmetry_Int_Tables_number 123
_symmetry_space_group_name_Hall '-P 4 2'
_cell_length_a 3.809
_cell_length_b 3.809
_cell_length_c 19.229
_cell_angle_alpha 90.00
_cell_angle_beta 90.00
_cell_angle_gamma 90.00
loop_
_atom_site_label
_atom_site_type_symbol
_atom_site_fract_x
_atom_site_fract_y
_atom_site_fract_z
Pm1 Pm 0.000 0.000 0.000
Pm2 Pm 0.000 0.000 0.204
Pm3 Pm 0.000 0.000 0.407
Al1 Al 0.500 0.500 0.500
In1 In 0.500 0.500 0.102
In2 In 0.500 0.500 0.306
```

## Properties
DFT formation energy ... -0.4682 eV/atom
Theoretical density ... 7.21 g/cm3
Size of the total moment ... 0.00 μB per cell